The following is a DFT calculation (GGA+U) of Zr3WF after structural relaxation.

Cell lengths 5.1985, 5.1985, 5.1985 Å; angles 90.00, 90.00, 90.00 degrees
Space group Pm-3m (No. 221)
Unique sites:
Zr: 0.0000 0.0000 0.5000
W: 0.0000 0.0000 0.0000
F: 0.5000 0.5000 0.5000

The calculation puts the total energy at -5.972 eV/atom. For the density of states at the Fermi level, the calculation gives 1.125 states/eV/atom.